[1]
Below is a geometry-optimized SiPRu structure, with properties calculated at the PBE-GGA level.

The space group is Amm2 (No. 38) and the conventional cell measures 2.869, 2.952 and 10.810 Å, with angles of 90.00, 90.00 and 90.00 degrees. The distinct sites, in fractional coordinates, are Si at (0.000, 0.000, 0.000), P at (0.000, 0.000, 0.793) and Ru at (0.500, 0.000, 0.621).

The energy relative to the elements, uncorrected comes out at -224 meV/atom. The density of states at the Fermi level comes out at 1.374 states/eV/f.u. The calculated total energy is -41.559 eV for the cell shown. The total magnetization comes out at 0.0 Bohr magnetons per cell.



[2]
Below is a geometry-optimized CuSi structure, with properties calculated at the PBE-GGA level.

The space group is F-43m (No. 216) and the conventional cell measures 5.335, 5.335 and 5.335 Å, with angles of 90.00, 90.00 and 90.00 degrees. The distinct sites, in fractional coordinates, are Cu at (0.000, 0.000, 0.000) and Si at (0.250, 0.250, 0.750).

The energy relative to the elements, uncorrected comes out at 634 meV/atom. The density of states at the Fermi level comes out at 2.041 states/eV/f.u. The calculated total energy is -33.007 eV for the cell shown. The total magnetization comes out at 0.0 Bohr magnetons per cell.



[3]
Below is a geometry-optimized Al2Cr2In structure, with properties calculated at the PBE-GGA level.

The space group is P4/mbm (No. 127) and the conventional cell measures 7.142, 7.142 and 3.073 Å, with angles of 90.00, 90.00 and 90.00 degrees. The distinct sites, in fractional coordinates, are Al at (0.182, 0.318, 0.000), Cr at (0.104, 0.604, 0.500) and In at (0.000, 0.000, 0.500).

The density of states at the Fermi level comes out at 5.338 states/eV/f.u. The energy relative to the elements comes out at 18.0 kJ/mol of atoms. The offset from the most stable computed form comes out at 0.000 eV per atom. The calculated total energy is -57.073 eV for the cell shown. The total magnetization comes out at 0.0 Bohr magnetons per cell.



[4]
Below is a geometry-optimized NiAs2Pd structure, with properties calculated at the PBE-GGA level.

The space group is Fm-3m (No. 225) and the conventional cell measures 6.257, 6.257 and 6.257 Å, with angles of 90.00, 90.00 and 90.00 degrees. The distinct sites, in fractional coordinates, are Ni at (0.000, 0.000, 0.000), As at (0.250, 0.250, 0.250) and Pd at (0.000, 0.000, 0.500).

The density of states at the Fermi level comes out at 2.340 states/eV/f.u. The energy relative to the elements comes out at -6.3 kJ/mol of atoms. The calculated total energy is -82.139 eV for the cell shown. The total magnetization comes out at 0.0 Bohr magnetons per cell.



[5]
Below is a geometry-optimized Pu3HfIn12 structure, with properties calculated at the PBE-GGA level.

The space group is P4/mmm (No. 123) and the conventional cell measures 4.625, 4.625 and 18.537 Å, with angles of 90.00, 90.00 and 90.00 degrees. The distinct sites, in fractional coordinates, are Pu at (0.000, 0.000, 0.000), Pu at (0.000, 0.000, 0.256), Hf at (0.000, 0.000, 0.500), In at (0.000, 0.500, 0.127), In at (0.000, 0.500, 0.381), In at (0.500, 0.500, 0.000), In at (0.500, 0.500, 0.253) and In at (0.500, 0.500, 0.500).

The density of states at the Fermi level comes out at 39.426 states/eV/f.u. The energy relative to the elements comes out at -17.7 kJ/mol of atoms. The calculated total energy is -88.741 eV for the cell shown. The total magnetization comes out at 5.7 Bohr magnetons per cell.



[6]
Below is a geometry-optimized Tm3TeAu structure, with properties calculated at the PBE-GGA level.

The space group is C2/m (No. 12) and the conventional cell measures 22.023, 3.981 and 6.143 Å, with angles of 90.00, 99.06 and 90.00 degrees. The distinct sites, in fractional coordinates, are Tm at (0.004, 0.000, 0.257), Tm at (0.126, 0.500, 0.569), Tm at (0.197, 0.000, 0.121), Te at (0.087, 0.500, 0.040) and Au at (0.224, 0.000, 0.641).

The energy relative to the elements, uncorrected comes out at -793 meV/atom. The density of states at the Fermi level comes out at 3.528 states/eV/f.u. The calculated total energy is -95.194 eV for the cell shown. The total magnetization comes out at 0.0 Bohr magnetons per cell.



[7]
Below is a geometry-optimized DyTm4Sc5 structure, with properties calculated at the PBE-GGA level.

The space group is C2/m (No. 12) and the conventional cell measures 14.646, 5.293 and 9.658 Å, with angles of 90.00, 129.49 and 90.00 degrees. The distinct sites, in fractional coordinates, are Dy at (0.000, 0.000, 0.000), Tm at (0.247, 0.000, 0.866), Tm at (0.247, 0.500, 0.624), Sc at (0.000, 0.500, 0.500), Sc at (0.049, 0.500, 0.209) and Sc at (0.052, 0.000, 0.401).

The density of states at the Fermi level comes out at 19.905 states/eV/f.u. The energy relative to the elements comes out at 25.3 kJ/mol of atoms. The offset from the most stable computed form comes out at 0.000 eV per atom. The calculated total energy is -103.044 eV for the cell shown. The total magnetization comes out at 0.0 Bohr magnetons per cell.



[8]
Below is a geometry-optimized Tl3CdBr6 structure, with properties calculated at the PBE-GGA level.

The space group is Cmc2_1 (No. 36) and the conventional cell measures 12.886, 15.662 and 7.479 Å, with angles of 90.00, 90.00 and 90.00 degrees. The distinct sites, in fractional coordinates, are Tl at (0.000, 0.075, 0.000), Tl at (0.180, 0.399, 0.105), Cd at (0.000, 0.294, 0.665), Br at (0.000, 0.281, 0.321), Br at (0.000, 0.453, 0.785), Br at (0.153, 0.217, 0.847) and Br at (0.156, 0.042, 0.291).

The energy relative to the elements, uncorrected comes out at -739 meV/atom. The density of states at the Fermi level comes out at 5.805 states/eV/f.u. The offset from the most stable computed form comes out at 0.008 eV per atom. The calculated total energy is -101.769 eV for the cell shown. The total magnetization comes out at 0.0 Bohr magnetons per cell.



[9]
Below is a geometry-optimized Pr8Ir3I3O structure, with properties calculated at the PBE-GGA level.

The space group is R-3m (No. 166, hexagonal axes) and the conventional cell measures 8.2850, 8.2850 and 24.4816 Å, with angles of 90.00, 90.00 and 120.00 degrees. The distinct sites, in fractional coordinates, are Pr at (0.0000, 0.0000, 0.2290), Pr at (0.0164, 0.5082, 0.2265), Ir at (0.0000, 0.5000, 0.5000), I at (0.0000, 0.5000, 0.0000) and O at (0.0000, 0.0000, 0.5000).

The energy relative to the elements, uncorrected comes out at -986 meV/atom. The density of states at the Fermi level comes out at 11.222 states/eV/f.u. The calculated total energy is -267.638 eV for the cell shown. The total magnetization comes out at 0.0 Bohr magnetons per cell.



[10]
Below is a geometry-optimized SrCr2Ir structure, with properties calculated at the PBE-GGA level.

The space group is I4_1/amd (No. 141, origin choice 2) and the conventional cell measures 4.804, 4.804 and 16.752 Å, with angles of 90.00, 90.00 and 90.00 degrees. The distinct sites, in fractional coordinates, are Sr at (0.000, 0.250, 0.375), Cr at (0.000, 0.000, 0.000) and Ir at (0.000, 0.250, 0.875).

The density of states at the Fermi level comes out at 5.074 states/eV/f.u. The energy relative to the elements comes out at 75.2 kJ/mol of atoms. The offset from the most stable computed form comes out at 0.389 eV per atom. The calculated total energy is -106.686 eV for the cell shown. The total magnetization comes out at 16.6 Bohr magnetons per cell.



[11]
Below is a geometry-optimized Ho4CdGaRu2 structure, with properties calculated at the PBE-GGA level.

The space group is R-3m (No. 166, hexagonal axes) and the conventional cell measures 4.9540, 4.9540 and 24.3625 Å, with angles of 90.00, 90.00 and 120.00 degrees. The distinct sites, in fractional coordinates, are Ho at (0.0000, 0.0000, 0.1229), Ho at (0.0000, 0.0000, 0.3735), Cd at (0.0000, 0.0000, 0.5000), Ga at (0.0000, 0.0000, 0.0000) and Ru at (0.0000, 0.0000, 0.2498).

The density of states at the Fermi level comes out at 5.318 states/eV/f.u. The energy relative to the elements comes out at -37.3 kJ/mol of atoms. The calculated total energy is -131.681 eV for the cell shown. The total magnetization comes out at 0.0 Bohr magnetons per cell.



[12]
Below is a geometry-optimized CaDyGa structure, with properties calculated at the PBE-GGA level.

The space group is F-43m (No. 216) and the conventional cell measures 7.152, 7.152 and 7.152 Å, with angles of 90.00, 90.00 and 90.00 degrees. The distinct sites, in fractional coordinates, are Ca at (0.000, 0.000, 0.000), Dy at (0.000, 0.000, 0.500) and Ga at (0.250, 0.250, 0.750).

The density of states at the Fermi level comes out at 1.356 states/eV/f.u. The energy relative to the elements comes out at -22.4 kJ/mol of atoms. The offset from the most stable computed form comes out at 0.159 eV per atom. The calculated total energy is -41.302 eV for the cell shown. The total magnetization comes out at 0.0 Bohr magnetons per cell.